[1]
Compound: La4PrNi2
Source: Alexandria via LeMat-Bulk
Functional: GGA-PBE
Structure: optimized geometry

The structure in POSCAR format:
```
La4PrNi2
1.0
7.994 0.000 0.000
0.000 6.813 0.000
-3.719 0.000 7.414
La Pr Ni
8 2 4
Cartesian
-1.308 1.703 2.697 La
0.918 5.109 2.734 La
0.444 0.109 5.771 La
0.444 3.297 5.771 La
3.831 3.516 1.643 La
3.831 6.703 1.643 La
3.357 1.703 4.679 La
5.583 5.109 4.716 La
1.030 1.703 0.151 Pr
3.244 5.109 7.262 Pr
-1.798 5.109 7.409 Ni
1.356 1.703 2.966 Ni
2.918 5.109 4.448 Ni
6.072 1.703 0.005 Ni
```

Results
Magnetic moment   0.00 μB per atom
Formation energy   -106 meV/atom
Fermi-level density of states   16.8 states/eV per cell
Calculated volume   404 Å³ per cell

---

[2]
Compound: IrAuNO2
Source: Alexandria via LeMat-Bulk
Functional: GGA-PBE
Structure: optimized geometry

The structure in POSCAR format:
```
IrAuNO2
1.0
4.070 0.000 0.000
0.000 4.070 0.000
0.000 0.000 4.015
Ir Au N O
1 1 1 2
Cartesian
0.000 0.000 0.000 Ir
2.035 2.035 2.008 Au
2.035 2.035 0.000 N
0.000 2.035 2.008 O
2.035 0.000 2.008 O
```

Results
Magnetic moment   0.72 μB per atom
Total energy   -4.26 eV/atom
Fermi-level density of states   4.2 states/eV per cell
Calculated volume   67 Å³ per cell

---

[3]
Compound: Be3AgIr
Source: Alexandria via LeMat-Bulk
Functional: GGA-PBE
Structure: optimized geometry

The structure in POSCAR format:
```
Be3AgIr
1.0
4.120 0.000 0.000
0.000 4.120 0.000
0.000 0.000 4.120
Be Ag Ir
3 1 1
Cartesian
0.000 0.000 2.060 Be
0.000 2.060 0.000 Be
2.060 0.000 0.000 Be
0.000 0.000 0.000 Ag
2.060 2.060 2.060 Ir
```

Results
Magnetic moment   0.00 μB per atom
Formation energy   1072 meV/atom
Polymorph energy (0 for the lowest one)   744.2 meV/atom
Fermi-level density of states   1.8 states/eV per cell
Calculated volume   70 Å³ per cell

---

[4]
Compound: Cd2TeCl
Source: Alexandria via LeMat-Bulk
Functional: GGA-PBE
Structure: optimized geometry

The structure in POSCAR format:
```
Cd2TeCl
1.0
2.111 -4.011 0.000
2.111 4.011 0.000
0.000 0.000 7.907
Cd Te Cl
2 1 1
Cartesian
0.000 0.000 1.952 Cd
0.000 0.000 5.954 Cd
2.111 0.000 0.000 Te
2.111 0.000 3.953 Cl
```

Results
Magnetic moment   0.00 μB per atom
Polymorph energy (0 for the lowest one)   196.2 meV/atom
Fermi-level density of states   0.7 states/eV per cell
Calculated volume   134 Å³ per cell

---

[5]
Compound: RbAlCrSe4
Source: Alexandria via LeMat-Bulk
Functional: GGA-PBE
Structure: optimized geometry

The structure in POSCAR format:
```
RbAlCrSe4
1.0
6.495 0.000 0.000
0.000 6.868 0.000
-0.657 0.000 8.711
Rb Al Cr Se
2 2 2 8
Cartesian
1.430 1.717 0.498 Rb
4.409 5.151 8.213 Rb
1.878 1.717 5.578 Al
3.960 5.151 3.133 Al
0.776 5.151 4.028 Cr
5.063 1.717 4.683 Cr
0.133 0.021 5.852 Se
0.133 3.413 5.852 Se
2.047 5.151 1.740 Se
2.947 1.717 3.480 Se
2.892 5.151 5.231 Se
3.791 1.717 6.971 Se
5.705 3.454 2.859 Se
5.705 6.847 2.859 Se
```

Results
Magnetic moment   0.28 μB per atom
Total energy   -4.74 eV/atom
Fermi-level density of states   3.1 states/eV per cell
Calculated volume   389 Å³ per cell

---

[6]
Compound: KPmI3
Source: Alexandria via LeMat-Bulk
Functional: GGA-PBE
Structure: optimized geometry

The structure in POSCAR format:
```
KPmI3
1.0
4.397 0.000 0.000
0.066 9.619 0.000
0.059 2.191 10.199
K Pm I
2 2 6
Cartesian
1.090 2.151 0.883 K
3.433 9.659 9.316 K
1.165 5.095 6.434 Pm
3.358 6.716 3.765 Pm
1.158 8.180 5.614 I
1.158 5.768 1.580 I
1.169 2.395 8.091 I
3.354 9.416 2.108 I
3.364 6.042 8.619 I
3.364 3.630 4.585 I
```

Results
Magnetic moment   0.20 μB per atom
Polymorph energy (0 for the lowest one)   0.0 meV/atom
Fermi-level density of states   1.7 states/eV per cell
Calculated volume   431 Å³ per cell